1.
TcRhBr2: optimized geometry, PBEsol.

Cell: 6.498 6.498 4.511 Å, 97.23 97.23 27.20°
Positions (direct):
Tc: 0.000 0.000 0.000
Rh: 0.500 0.500 0.500
Br: 0.351 0.351 0.792
Br: 0.649 0.649 0.208

Values from the calculation:
Formation energy without anion corrections: 0.351 eV per atom
V: 86.4 Å³/cell
Relative energy among the computed polymorphs: 0 kJ/mol of formula units
SG: C2/m, No. 12



2.
Sc2NiP: optimized geometry, PBEsol.

Cell: 6.460 6.460 6.460 Å, 32.94 32.94 32.94°
Positions (direct):
Sc: 0.249 0.249 0.249
Sc: 0.751 0.751 0.751
Ni: 0.000 0.000 0.000
P: 0.500 0.500 0.500

Values from the calculation:
E_form: -0.73 eV per atom
V: 71.0 Å³/cell
SG: R-3m, No. 166



3.
CaCdHg2: optimized geometry, PBEsol.

Cell: 5.043 5.043 5.043 Å, 60.00 60.00 60.00°
Positions (direct):
Ca: 0.000 0.000 0.000
Cd: 0.750 0.750 0.750
Hg: 0.250 0.250 0.250
Hg: 0.500 0.500 0.500

Values from the calculation:
E_form: -0.36 eV per atom
V: 90.7 Å³/cell
SG: F-43m, No. 216



4.
BaInSi2Mo: optimized geometry, PBEsol.

Cell: 5.531 5.531 5.267 Å, 90.00 90.00 90.00°
Positions (direct):
Ba: 0.000 0.000 0.000
In: 0.500 0.500 0.500
Si: 0.000 0.500 0.000
Si: 0.500 0.000 0.000
Mo: 0.000 0.000 0.500

Values from the calculation:
Formation energy without anion corrections: 2.212 eV per atom
V: 161.1 Å³/cell
SG: P4/mmm, No. 123



5.
TeW4: optimized geometry, PBEsol.

Cell: 6.604 6.604 6.604 Å, 144.07 144.07 51.72°
Positions (direct):
Te: 0.000 0.000 0.000
W: 0.250 0.750 0.500
W: 0.382 0.382 0.000
W: 0.618 0.618 0.000
W: 0.750 0.250 0.500

Values from the calculation:
Formation energy without anion corrections: 0.942 eV per atom
V: 98.6 Å³/cell
Relative energy among the computed polymorphs: 0 kJ/mol of formula units
SG: I4/mmm, No. 139



6.
LiMnSi2O6: optimized geometry, PBEsol.

Cell: 6.540 6.540 5.275 Å, 105.64 105.64 84.15°
Positions (direct):
Li: 0.247 0.753 0.750
Li: 0.753 0.247 0.250
Mn: 0.103 0.897 0.250
Mn: 0.897 0.103 0.750
Si: 0.206 0.388 0.258
Si: 0.388 0.206 0.758
Si: 0.612 0.794 0.242
Si: 0.794 0.612 0.742
O: 0.028 0.200 0.136
O: 0.108 0.626 0.337
O: 0.200 0.028 0.636
O: 0.346 0.365 0.038
O: 0.365 0.346 0.538
O: 0.374 0.892 0.163
O: 0.626 0.108 0.837
O: 0.635 0.654 0.462
O: 0.654 0.635 0.962
O: 0.800 0.972 0.364
O: 0.892 0.374 0.663
O: 0.972 0.800 0.864

Values from the calculation:
Formation energy without anion corrections: -2.398 eV per atom
V: 209.1 Å³/cell
SG: C2/c, No. 15



7.
ZrTePO2: optimized geometry, PBEsol.

Cell: 3.984 3.984 5.770 Å, 90.00 90.00 90.00°
Positions (direct):
Zr: 0.000 0.000 0.000
Te: 0.500 0.500 0.500
P: 0.000 0.000 0.500
O: 0.000 0.500 0.000
O: 0.500 0.000 0.000

Values from the calculation:
Formation energy without anion corrections: -1.325 eV per atom
V: 91.6 Å³/cell
SG: P4/mmm, No. 123



8.
KSbH2: optimized geometry, PBEsol.

Cell: 7.308 7.308 7.308 Å, 139.91 139.91 57.99°
Positions (direct):
K: 0.000 0.000 0.000
K: 0.750 0.250 0.500
Sb: 0.250 0.750 0.500
Sb: 0.500 0.500 0.000
H: 0.330 0.625 0.205
H: 0.375 0.580 0.705
H: 0.420 0.125 0.795
H: 0.875 0.670 0.295

Values from the calculation:
V: 160.5 Å³/cell
SG: I-42d, No. 122
Electronic total energy: -2.95 eV per atom